# 1
Computed, not measured: a relaxed structure of RbTmPd at the PBE-GGA level of DFT. Values from VASP.

Geometry as Quantum ESPRESSO input:
```
&SYSTEM
  ibrav = 0, nat = 3, ntyp = 3
/
ATOMIC_SPECIES
Pd 106.42 Pd.upf
Rb 85.47 Rb.upf
Tm 168.93 Tm.upf
ATOMIC_POSITIONS crystal
Pd 0.000 0.000 0.000
Rb 0.250 0.250 0.250
Tm 0.750 0.750 0.750
CELL_PARAMETERS angstrom
3.046 -1.600 3.787
-1.185 1.069 4.862
-1.559 -3.733 3.133
```

Space group ... No. 216
Uncorrected energy ... -0.1219 hartree per atom
Crystal system ... cubic

# 2
Computed, not measured: a relaxed structure of ThCdAg at the PBE-GGA level of DFT. Values from VASP.

Geometry as Quantum ESPRESSO input:
```
&SYSTEM
  ibrav = 0, nat = 3, ntyp = 3
/
ATOMIC_SPECIES
Ag 107.87 Ag.upf
Cd 112.41 Cd.upf
Th 232.04 Th.upf
ATOMIC_POSITIONS crystal
Ag 0.000 0.000 0.000
Cd 0.250 0.250 0.250
Th 0.750 0.750 0.750
CELL_PARAMETERS angstrom
3.423 -3.459 -0.390
-1.105 -4.313 -2.004
1.786 -1.183 -4.387
```

Space group ... No. 216
ΔH_f (0 K) ... 0.0082 eV/atom
Uncorrected energy ... -0.1361 hartree per atom
Crystal system ... cubic

# 3
Computed, not measured: a relaxed structure of HfNiAsPd at the PBE-GGA level of DFT. Values from VASP.

Geometry as Quantum ESPRESSO input:
```
&SYSTEM
  ibrav = 0, nat = 4, ntyp = 4
/
ATOMIC_SPECIES
As 74.92 As.upf
Hf 178.49 Hf.upf
Ni 58.69 Ni.upf
Pd 106.42 Pd.upf
ATOMIC_POSITIONS crystal
As 0.000 0.000 0.000
Hf 0.500 0.500 0.500
Ni 0.750 0.750 0.750
Pd 0.250 0.250 0.250
CELL_PARAMETERS angstrom
0.061 -0.093 4.476
-3.782 0.655 2.305
-1.903 -3.407 2.194
```

Excess energy over the best structure of this formula in the dataset ... 18 meV/atom
Space group ... No. 216
Uncorrected energy ... -0.2478 hartree per atom
Crystal system ... cubic

# 4
Computed, not measured: a relaxed structure of PrZr at the PBE-GGA level of DFT. Values from VASP.

Geometry as Quantum ESPRESSO input:
```
&SYSTEM
  ibrav = 0, nat = 10, ntyp = 2
/
ATOMIC_SPECIES
Pr 140.91 Pr.upf
Zr 91.22 Zr.upf
ATOMIC_POSITIONS crystal
Pr 0.454 0.177 0.000
Pr 0.831 0.423 0.000
Pr 0.587 0.800 0.000
Pr 0.049 0.166 0.500
Pr 0.416 0.434 0.500
Zr 0.178 0.634 0.000
Zr 0.013 0.966 0.000
Zr 0.861 0.633 0.500
Zr 0.251 0.800 0.500
Zr 0.694 0.967 0.500
CELL_PARAMETERS angstrom
2.901 5.024 0.000
-6.620 7.172 0.000
0.000 0.000 5.452
```

Excess energy over the best structure of this formula in the dataset ... 39 meV/atom
Space group ... No. 38
ΔH_f (0 K) ... 0.1363 eV/atom
Uncorrected energy ... -0.2398 hartree per atom
Crystal system ... orthorhombic

# 5
Computed, not measured: a relaxed structure of NdMgAu2 at the PBE-GGA level of DFT. Values from VASP.

Geometry as Quantum ESPRESSO input:
```
&SYSTEM
  ibrav = 0, nat = 8, ntyp = 3
/
ATOMIC_SPECIES
Au 196.97 Au.upf
Mg 24.30 Mg.upf
Nd 144.24 Nd.upf
ATOMIC_POSITIONS crystal
Au 0.500 0.244 0.293
Au 0.500 0.756 0.293
Au 0.000 0.256 0.707
Au 0.000 0.744 0.707
Mg 0.000 0.000 0.255
Mg 0.500 0.500 0.745
Nd 0.000 0.500 0.206
Nd 0.500 0.000 0.794
CELL_PARAMETERS angstrom
5.011 0.000 0.000
0.000 6.707 0.000
0.000 0.000 5.174
```

Space group ... No. 59
Uncorrected energy ... -0.1444 hartree per atom
Crystal system ... orthorhombic

# 6
Computed, not measured: a relaxed structure of KCo3 at the PBE-GGA level of DFT. Values from VASP.

Geometry as Quantum ESPRESSO input:
```
&SYSTEM
  ibrav = 0, nat = 4, ntyp = 2
/
ATOMIC_SPECIES
Co 58.93 Co.upf
K 39.10 K.upf
ATOMIC_POSITIONS crystal
Co 0.500 0.500 0.000
Co 0.750 0.250 0.500
Co 0.250 0.750 0.500
K 0.000 0.000 0.000
CELL_PARAMETERS angstrom
-2.263 2.263 2.856
2.263 -2.263 2.856
2.263 2.263 -2.856
```

Excess energy over the best structure of this formula in the dataset ... 845 meV/atom
Space group ... No. 139
Uncorrected energy ... -0.1475 hartree per atom
Crystal system ... tetragonal

# 7
Computed, not measured: a relaxed structure of YHfZn2 at the PBE-GGA level of DFT. Values from VASP.

Geometry as Quantum ESPRESSO input:
```
&SYSTEM
  ibrav = 0, nat = 4, ntyp = 3
/
ATOMIC_SPECIES
Hf 178.49 Hf.upf
Y 88.91 Y.upf
Zn 65.41 Zn.upf
ATOMIC_POSITIONS crystal
Hf 0.500 0.500 0.500
Y 0.750 0.750 0.750
Zn 0.000 0.000 0.000
Zn 0.250 0.250 0.250
CELL_PARAMETERS angstrom
-3.414 -3.477 0.459
-4.533 0.786 -1.670
-1.600 -2.396 -3.956
```

Space group ... No. 216
ΔH_f (0 K) ... 0.3160 eV/atom
Uncorrected energy ... -0.1625 hartree per atom
Crystal system ... cubic

# 8
Computed, not measured: a relaxed structure of TaZnCuBi at the PBE-GGA level of DFT. Values from VASP.

Geometry as Quantum ESPRESSO input:
```
&SYSTEM
  ibrav = 0, nat = 4, ntyp = 4
/
ATOMIC_SPECIES
Bi 208.98 Bi.upf
Cu 63.55 Cu.upf
Ta 180.95 Ta.upf
Zn 65.41 Zn.upf
ATOMIC_POSITIONS crystal
Bi 0.000 0.000 0.000
Cu 0.750 0.750 0.750
Ta 0.500 0.500 0.500
Zn 0.250 0.250 0.250
CELL_PARAMETERS angstrom
3.415 2.352 2.317
-1.065 3.925 2.455
0.124 -0.062 4.748
```

Excess energy over the best structure of this formula in the dataset ... 49 meV/atom
Space group ... No. 216
Uncorrected energy ... -0.1659 hartree per atom
Crystal system ... cubic

Q: Among the records above, which one has the lowest uncorrected energy?
A: HfNiAsPd

Q: Number 4 is which compound?
A: PrZr

Q: The lowest uncorrected energy belongs to which entry?
A: HfNiAsPd

Please write out number 8 again, unchanged.
Computed, not measured: a relaxed structure of TaZnCuBi at the PBE-GGA level of DFT. Values from VASP.

Geometry as Quantum ESPRESSO input:
```
&SYSTEM
  ibrav = 0, nat = 4, ntyp = 4
/
ATOMIC_SPECIES
Bi 208.98 Bi.upf
Cu 63.55 Cu.upf
Ta 180.95 Ta.upf
Zn 65.41 Zn.upf
ATOMIC_POSITIONS crystal
Bi 0.000 0.000 0.000
Cu 0.750 0.750 0.750
Ta 0.500 0.500 0.500
Zn 0.250 0.250 0.250
CELL_PARAMETERS angstrom
3.415 2.352 2.317
-1.065 3.925 2.455
0.124 -0.062 4.748
```

Excess energy over the best structure of this formula in the dataset ... 49 meV/atom
Space group ... No. 216
Uncorrected energy ... -0.1659 hartree per atom
Crystal system ... cubic